# RuRhC3 | the Alexandria database | PBE-GGA | optimized geometry
data_RuRhC3
_space_group_name_H-M_alt 'P m -3 m'
_space_group_IT_number 221
_space_group_name_Hall '-P 4 2 3'
_cell_length_a 3.910
_cell_length_b 3.910
_cell_length_c 3.910
_cell_angle_alpha 90.00
_cell_angle_beta 90.00
_cell_angle_gamma 90.00
loop_
_atom_site_label
_atom_site_type_symbol
_atom_site_fract_x
_atom_site_fract_y
_atom_site_fract_z
Ru1 Ru 0.000 0.000 0.000
Rh1 Rh 0.500 0.500 0.500
C1 C 0.000 0.500 0.500
# energy relative to the elements: 2.53 eV/atom
# ρ: 6.667 g/cm3
# uncorrected energy: -31.6 eV for the cell shown
# ΔE to the lowest computed polymorph: 375 meV/atom

***

# Y2ZnCr | the Alexandria database | PBE-GGA | optimized geometry
data_Y2ZnCr
_space_group_name_H-M_alt 'R -3 m'
_space_group_IT_number 166
_space_group_name_Hall '-R 3 2"'
_cell_length_a 3.5550
_cell_length_b 3.5550
_cell_length_c 26.8553
_cell_angle_alpha 90.00
_cell_angle_beta 90.00
_cell_angle_gamma 120.00
loop_
_atom_site_label
_atom_site_type_symbol
_atom_site_fract_x
_atom_site_fract_y
_atom_site_fract_z
Y1 Y 0.0000 0.0000 0.2495
Zn1 Zn 0.0000 0.0000 0.0000
Cr1 Cr 0.0000 0.0000 0.5000
# energy relative to the elements: 0.27 eV/atom
# ρ: 5.003 g/cm3
# uncorrected energy: -68.3 eV for the cell shown
# ΔE to the lowest computed polymorph: 251 meV/atom

***

# Pr6Ag2Au | the Alexandria database | PBE-GGA | optimized geometry
data_Pr6Ag2Au
_space_group_name_H-M_alt 'P 1 21/c 1'
_space_group_IT_number 14
_cell_length_a 6.483
_cell_length_b 8.207
_cell_length_c 12.419
_cell_angle_alpha 90.00
_cell_angle_beta 121.05
_cell_angle_gamma 90.00
loop_
_space_group_symop_operation_xyz
'x,y,z'
'-x,-y,-z'
'-x,y+1/2,-z+1/2'
'x,-y+1/2,z+1/2'
loop_
_atom_site_label
_atom_site_type_symbol
_atom_site_fract_x
_atom_site_fract_y
_atom_site_fract_z
Pr1 Pr 0.073 0.214 0.435
Pr2 Pr 0.295 0.655 0.451
Pr3 Pr 0.394 0.057 0.237
Ag1 Ag 0.133 0.106 0.727
Au1 Au 0.500 0.000 0.500
# energy relative to the elements: -0.18 eV/atom
# ρ: 7.382 g/cm3
# uncorrected energy: -78.5 eV for the cell shown

***

Number 1: total magnetic moment 0.0 μB per formula unit. Number 2: total magnetic moment 3.3 μB per formula unit. Number 3: total magnetic moment 0.0 μB per formula unit.